DFT (PBEsol) results for a relaxed ScTi3Mo crystal.

The structure belongs to space group Pm-3m (No. 221); the cell edges are 4.6927, 4.6927 and 4.6927 Å and the angles 90.00°, 90.00° and 90.00°. The distinct sites, in fractional coordinates, are Sc at (0.0000, 0.0000, 0.0000), Ti at (0.0000, 0.5000, 0.5000) and Mo at (0.5000, 0.5000, 0.5000).

As for the calculated density: 4.571 g/cm³. The total DFT energy (no corrections) is -8.08 eV per atom.

DFT (PBEsol) results for a relaxed ScMo2W crystal.

The structure belongs to space group Imm2 (No. 44); the cell edges are 3.1349, 4.5506 and 9.0952 Å and the angles 90.00°, 90.00° and 90.00°. The distinct sites, in fractional coordinates, are Sc at (0.0000, 0.0000, 0.0000), Mo at (0.0000, 0.0000, 0.5039), Mo at (0.0000, 0.5000, 0.2394) and W at (0.0000, 0.5000, 0.7652).

As for the calculated density: 10.768 g/cm³. The calculation puts the polymorph energy (0 for the lowest one) at 0 meV/atom.

Please write out number 1 again, unchanged.
DFT (PBEsol) results for a relaxed ScTi3Mo crystal.

The structure belongs to space group Pm-3m (No. 221); the cell edges are 4.6927, 4.6927 and 4.6927 Å and the angles 90.00°, 90.00° and 90.00°. The distinct sites, in fractional coordinates, are Sc at (0.0000, 0.0000, 0.0000), Ti at (0.0000, 0.5000, 0.5000) and Mo at (0.5000, 0.5000, 0.5000).

As for the calculated density: 4.571 g/cm³. The total DFT energy (no corrections) is -8.08 eV per atom.

- Among the records above, which one has the highest calculated density?
  ScMo2W

- calculated density of number 1 (ScTi3Mo)?
  4.571 g/cm³

- Among the records above, which one has the highest calculated density?
  ScMo2W